Record 1
A plane-wave DFT calculation with PBE was carried out for crystalline Nb2MoSe4S2 at its relaxed geometry.

Properties
space-group type = P3m1
formation energy without anion corrections = -814 meV per atom

POSCAR file:
```
Nb2MoSe4S2
1.0
3.378 0.000 0.000
-1.689 2.925 0.000
0.000 0.000 21.279
Mo S Se Nb
1 2 4 2
Cartesian
0.000 0.000 6.986
1.689 0.975 5.478
1.689 0.975 8.494
1.689 0.975 19.159
0.000 0.000 15.542
1.689 0.975 1.325
0.000 0.000 12.097
0.000 0.000 20.880
1.689 0.975 13.819
```

Record 2
A plane-wave DFT calculation with PBE was carried out for crystalline Nb2MoSe2S4 at its relaxed geometry.

Properties
space-group type = P3m1
formation energy without anion corrections = -915 meV per atom

POSCAR file:
```
Nb2MoSe2S4
1.0
-1.431 -2.807 1.128
-0.206 0.796 -3.244
17.805 -10.573 -3.726
S Mo Nb Se
4 1 2 2
Cartesian
10.340 -6.140 -2.163
-0.112 -2.146 -0.520
15.036 -11.142 -3.689
12.998 -7.718 -2.720
5.826 -3.460 -1.219
10.648 -8.536 -2.771
17.385 -10.324 -3.638
6.214 -5.903 -1.844
3.393 -4.228 -1.253
```

Record 3
A plane-wave DFT calculation with PBE was carried out for crystalline Nb2SiMoS at its relaxed geometry.

Properties
space-group type = P4/mmm
formation energy without anion corrections = 1189 meV per atom

POSCAR file:
```
Nb2SiMoS
1.0
-0.874 0.868 -4.627
-0.070 -4.107 -0.758
-4.707 -0.081 0.874
Si Nb S Mo
1 2 1 1
Cartesian
0.000 0.000 0.000
-0.437 0.434 -2.313
-2.353 -0.040 0.437
-0.035 -2.053 -0.379
-2.826 -1.660 -2.255
```

Record 4
A plane-wave DFT calculation with PBE was carried out for crystalline NbSnMo2S at its relaxed geometry.

Properties
space-group type = P4/mmm
formation energy without anion corrections = 768 meV per atom

POSCAR file:
```
NbSnMo2S
1.0
4.373 0.000 0.000
0.000 5.156 0.000
0.000 0.000 4.373
Mo Sn S Nb
2 1 1 1
Cartesian
2.187 0.000 0.000
0.000 0.000 2.187
0.000 2.578 0.000
0.000 0.000 0.000
2.187 2.578 2.187
```

Record 5
A plane-wave DFT calculation with PBE was carried out for crystalline NbSnMoS2 at its relaxed geometry.

Properties
space-group type = P4/mmm
formation energy without anion corrections = 638 meV per atom

POSCAR file:
```
NbSnMoS2
1.0
4.682 0.000 0.000
0.000 5.666 0.000
0.000 0.000 4.682
Sn Nb S Mo
1 1 2 1
Cartesian
0.000 2.833 0.000
0.000 0.000 0.000
2.341 0.000 0.000
0.000 0.000 2.341
2.341 2.833 2.341
```

Record 6
A plane-wave DFT calculation with PBE was carried out for crystalline NbTcMo2S at its relaxed geometry.

Properties
space-group type = P4/mmm
formation energy without anion corrections = 1903 meV per atom

POSCAR file:
```
NbTcMo2S
1.0
-1.708 2.213 3.803
0.204 -3.907 2.365
4.395 1.053 1.361
Nb S Tc Mo
1 1 1 2
Cartesian
0.000 0.000 0.000
0.102 -1.953 1.182
1.445 -0.320 3.765
2.198 0.527 0.681
-0.854 1.106 1.902
```

Record 7
A plane-wave DFT calculation with PBE was carried out for crystalline TiNbMoS2 at its relaxed geometry.

Properties
space-group type = P4/mmm
formation energy without anion corrections = 723 meV per atom

POSCAR file:
```
TiNbMoS2
1.0
-2.966 -2.435 2.542
2.972 -3.690 -0.067
2.014 1.552 3.837
Ti S Nb Mo
1 2 1 1
Cartesian
1.486 -1.845 -0.033
1.007 0.776 1.918
-1.483 -1.217 1.271
1.010 -2.286 3.156
0.000 0.000 0.000
```

Record 8
A plane-wave DFT calculation with PBE was carried out for crystalline Nb3SbMo at its relaxed geometry.

Properties
space-group type = Pm-3m
formation energy without anion corrections = 1024 meV per atom
ΔE to the lowest computed polymorph = 0.0 kJ/mol of atoms

POSCAR file:
```
Nb3SbMo
1.0
-4.262 -1.108 -2.050
-2.025 -0.355 4.401
-1.154 4.716 -0.150
Nb Sb Mo
3 1 1
Cartesian
-0.577 2.358 -0.075
-2.131 -0.554 -1.025
-1.012 -0.178 2.200
-3.720 1.626 1.100
0.000 0.000 0.000
```

no.,Fermi-level density of states (states/eV per cell)
1,6.44
2,7.20
3,1.80
4,8.20
5,4.50
6,8.22
7,6.11
8,2.45